10
Lattice="-2.913 -0.348 3.102 -3.515 -5.272 -3.892 4.157 -5.196 3.320" Properties=species:S:1:pos:R:3 comment="Pm3Nd3Co4 | Alexandria | GGA-PBE | optimized geometry" e_tot_ha_per_atom=-0.210 rho_g_cm3=7.761 sg="No. 38" pbc="T T T"
Pm -3.644 -5.433 -1.093
Pm -1.246 -3.610 1.363
Pm -1.025 -7.207 1.166
Nd 2.397 -7.830 1.372
Nd 2.076 -2.600 1.658
Nd 1.390 -5.383 3.639
Co -0.518 -5.242 -1.075
Co 1.117 -5.226 0.462
Co 0.590 -9.348 -0.496
Co 0.085 -1.120 -0.046



6
Lattice="-1.639 4.148 -2.605 -3.461 -0.536 -3.798 -4.830 1.713 0.646" Properties=species:S:1:pos:R:3 comment="PmNdCo4 | Alexandria | GGA-PBE | optimized geometry" polymorph_energy_mev_per_atom=39 rho_g_cm3=8.944 sg="No. 216" pbc="T T T"
Co -3.790 2.472 -3.922
Co -4.476 3.597 -1.698
Co -6.208 3.329 -3.598
Co -5.387 1.253 -2.295
Nd -2.483 1.331 -1.439
Pm 0.000 0.000 0.000